Pm2NdYTm | PBE-GGA | relaxed

```
data_Pm2NdYTm
_symmetry_space_group_name_H-M 'P 1'
_symmetry_Int_Tables_number 1
_symmetry_space_group_name_Hall 'P 1'
_cell_length_a 7.189
_cell_length_b 7.189
_cell_length_c 7.285
_cell_angle_alpha 90.00
_cell_angle_beta 90.00
_cell_angle_gamma 108.00
loop_
_atom_site_label
_atom_site_type_symbol
_atom_site_fract_x
_atom_site_fract_y
_atom_site_fract_z
Pm1 Pm 0.191 0.191 0.000
Pm2 Pm 0.191 0.191 0.500
Pm3 Pm 0.809 0.809 0.000
Pm4 Pm 0.809 0.809 0.500
Nd1 Nd 0.226 0.774 0.750
Nd2 Nd 0.774 0.226 0.250
Y1 Y 0.494 0.506 0.750
Y2 Y 0.506 0.494 0.250
Tm1 Tm 0.228 0.772 0.250
Tm2 Tm 0.772 0.228 0.750
```

SG: Cmcm (63)
DOS(E_F) in states/eV/f.u.: 7.74
Electronic total energy in eV/atom: -4.6337

---

SrLi2PtO4 | PBE-GGA | relaxed

```
data_SrLi2PtO4
_symmetry_space_group_name_H-M 'P 1'
_symmetry_Int_Tables_number 1
_symmetry_space_group_name_Hall 'P 1'
_cell_length_a 5.186
_cell_length_b 5.186
_cell_length_c 5.186
_cell_angle_alpha 118.28
_cell_angle_beta 110.77
_cell_angle_gamma 99.87
loop_
_atom_site_label
_atom_site_type_symbol
_atom_site_fract_x
_atom_site_fract_y
_atom_site_fract_z
Sr1 Sr 0.000 0.000 0.000
Li1 Li 0.250 0.750 0.500
Li2 Li 0.750 0.250 0.500
Pt1 Pt 0.500 0.500 0.000
O1 O 0.115 0.537 0.943
O2 O 0.406 0.463 0.578
O3 O 0.594 0.172 0.057
O4 O 0.885 0.828 0.422
```

SG: I222 (23)
Electronic total energy in eV/atom: -5.3021

---

Tb2ErIn4 | PBE-GGA | relaxed

```
data_Tb2ErIn4
_symmetry_space_group_name_H-M 'P 1'
_symmetry_Int_Tables_number 1
_symmetry_space_group_name_Hall 'P 1'
_cell_length_a 8.190
_cell_length_b 8.190
_cell_length_c 8.190
_cell_angle_alpha 142.70
_cell_angle_beta 142.70
_cell_angle_gamma 53.78
loop_
_atom_site_label
_atom_site_type_symbol
_atom_site_fract_x
_atom_site_fract_y
_atom_site_fract_z
Tb1 Tb 0.249 0.249 0.000
Tb2 Tb 0.751 0.751 0.000
Er1 Er 0.500 0.500 0.000
In1 In 0.113 0.613 0.500
In2 In 0.387 0.887 0.500
In3 In 0.613 0.113 0.500
In4 In 0.887 0.387 0.500
```

SG: I4/mmm (139)
DOS(E_F) in states/eV/f.u.: 5.42
Electronic total energy in eV/atom: -3.8554

---

CaTa2Hg | PBE-GGA | relaxed

```
data_CaTa2Hg
_symmetry_space_group_name_H-M 'P 1'
_symmetry_Int_Tables_number 1
_symmetry_space_group_name_Hall 'P 1'
_cell_length_a 2.847
_cell_length_b 5.153
_cell_length_c 5.814
_cell_angle_alpha 90.00
_cell_angle_beta 90.00
_cell_angle_gamma 90.00
loop_
_atom_site_label
_atom_site_type_symbol
_atom_site_fract_x
_atom_site_fract_y
_atom_site_fract_z
Ca1 Ca 0.000 0.000 0.000
Ta1 Ta 0.500 0.500 0.247
Ta2 Ta 0.500 0.500 0.753
Hg1 Hg 0.000 0.000 0.500
```

SG: Pmmm (47)
DOS(E_F) in states/eV/f.u.: 4.31
Electronic total energy in eV/atom: -5.8299

---

BeZnTcAs2 | PBE-GGA | relaxed

```
data_BeZnTcAs2
_symmetry_space_group_name_H-M 'P 1'
_symmetry_Int_Tables_number 1
_symmetry_space_group_name_Hall 'P 1'
_cell_length_a 4.642
_cell_length_b 4.642
_cell_length_c 4.868
_cell_angle_alpha 90.00
_cell_angle_beta 90.00
_cell_angle_gamma 90.00
loop_
_atom_site_label
_atom_site_type_symbol
_atom_site_fract_x
_atom_site_fract_y
_atom_site_fract_z
Be1 Be 0.000 0.000 0.000
Zn1 Zn 0.500 0.500 0.500
Tc1 Tc 0.500 0.500 0.000
As1 As 0.000 0.500 0.500
As2 As 0.500 0.000 0.500
```

SG: P4/mmm (123)
DOS(E_F) in states/eV/f.u.: 4.74
Electronic total energy in eV/atom: -3.4770

---

In6AgI8 | PBE-GGA | relaxed

```
data_In6AgI8
_symmetry_space_group_name_H-M 'P 1'
_symmetry_Int_Tables_number 1
_symmetry_space_group_name_Hall 'P 1'
_cell_length_a 9.500
_cell_length_b 9.500
_cell_length_c 9.500
_cell_angle_alpha 99.29
_cell_angle_beta 99.29
_cell_angle_gamma 99.29
loop_
_atom_site_label
_atom_site_type_symbol
_atom_site_fract_x
_atom_site_fract_y
_atom_site_fract_z
In1 In 0.176 0.370 0.545
In2 In 0.370 0.545 0.176
In3 In 0.455 0.824 0.630
In4 In 0.545 0.176 0.370
In5 In 0.630 0.455 0.824
In6 In 0.824 0.630 0.455
Ag1 Ag 0.000 0.000 0.000
I1 I 0.143 0.669 0.395
I2 I 0.195 0.195 0.195
I3 I 0.331 0.605 0.857
I4 I 0.395 0.143 0.669
I5 I 0.605 0.857 0.331
I6 I 0.669 0.395 0.143
I7 I 0.805 0.805 0.805
I8 I 0.857 0.331 0.605
```

SG: R-3 (148)
DOS(E_F) in states/eV/f.u.: 5.99
Electronic total energy in eV/atom: -2.4469

---

UPdI | PBE-GGA | relaxed

```
data_UPdI
_symmetry_space_group_name_H-M 'P 1'
_symmetry_Int_Tables_number 1
_symmetry_space_group_name_Hall 'P 1'
_cell_length_a 3.847
_cell_length_b 4.277
_cell_length_c 10.436
_cell_angle_alpha 89.89
_cell_angle_beta 79.47
_cell_angle_gamma 90.00
loop_
_atom_site_label
_atom_site_type_symbol
_atom_site_fract_x
_atom_site_fract_y
_atom_site_fract_z
U1 U 0.038 0.250 0.422
U2 U 0.962 0.750 0.578
Pd1 Pd 0.422 0.249 0.656
Pd2 Pd 0.578 0.751 0.344
I1 I 0.335 0.748 0.835
I2 I 0.665 0.252 0.165
```

SG: P-1 (2)
DOS(E_F) in states/eV/f.u.: 3.85
Electronic total energy in eV/atom: -6.3761

---

Ac2AgSn3Au4 | PBE-GGA | relaxed

```
data_Ac2AgSn3Au4
_symmetry_space_group_name_H-M 'P 1'
_symmetry_Int_Tables_number 1
_symmetry_space_group_name_Hall 'P 1'
_cell_length_a 4.753
_cell_length_b 4.753
_cell_length_c 11.188
_cell_angle_alpha 90.00
_cell_angle_beta 90.00
_cell_angle_gamma 90.00
loop_
_atom_site_label
_atom_site_type_symbol
_atom_site_fract_x
_atom_site_fract_y
_atom_site_fract_z
Ac1 Ac 0.000 0.500 0.246
Ac2 Ac 0.500 0.000 0.754
Ag1 Ag 0.000 0.000 0.500
Sn1 Sn 0.000 0.500 0.869
Sn2 Sn 0.500 0.000 0.131
Sn3 Sn 0.500 0.500 0.500
Au1 Au 0.000 0.000 0.000
Au2 Au 0.000 0.500 0.630
Au3 Au 0.500 0.000 0.370
Au4 Au 0.500 0.500 0.000
```

SG: P-4m2 (115)
DOS(E_F) in states/eV/f.u.: 5.09
Electronic total energy in eV/atom: -4.2070

---

PmDy4Ru5 | PBE-GGA | relaxed

```
data_PmDy4Ru5
_symmetry_space_group_name_H-M 'P 1'
_symmetry_Int_Tables_number 1
_symmetry_space_group_name_Hall 'P 1'
_cell_length_a 3.418
_cell_length_b 3.418
_cell_length_c 17.049
_cell_angle_alpha 90.00
_cell_angle_beta 90.00
_cell_angle_gamma 90.00
loop_
_atom_site_label
_atom_site_type_symbol
_atom_site_fract_x
_atom_site_fract_y
_atom_site_fract_z
Pm1 Pm 0.000 0.000 0.000
Dy1 Dy 0.000 0.000 0.203
Dy2 Dy 0.000 0.000 0.401
Dy3 Dy 0.000 0.000 0.599
Dy4 Dy 0.000 0.000 0.797
Ru1 Ru 0.500 0.500 0.104
Ru2 Ru 0.500 0.500 0.302
Ru3 Ru 0.500 0.500 0.500
Ru4 Ru 0.500 0.500 0.698
Ru5 Ru 0.500 0.500 0.896
```

SG: P4/mmm (123)
DOS(E_F) in states/eV/f.u.: 12.10
Electronic total energy in eV/atom: -7.2321

---

CdNiW2 | PBE-GGA | relaxed

```
data_CdNiW2
_symmetry_space_group_name_H-M 'P 1'
_symmetry_Int_Tables_number 1
_symmetry_space_group_name_Hall 'P 1'
_cell_length_a 3.772
_cell_length_b 3.772
_cell_length_c 4.399
_cell_angle_alpha 90.00
_cell_angle_beta 90.00
_cell_angle_gamma 90.00
loop_
_atom_site_label
_atom_site_type_symbol
_atom_site_fract_x
_atom_site_fract_y
_atom_site_fract_z
Cd1 Cd 0.000 0.000 0.000
Ni1 Ni 0.500 0.500 0.000
W1 W 0.000 0.500 0.500
W2 W 0.500 0.000 0.500
```

SG: P4/mmm (123)
DOS(E_F) in states/eV/f.u.: 2.66
Electronic total energy in eV/atom: -7.6801

---

RbSn3Bi | PBE-GGA | relaxed

```
data_RbSn3Bi
_symmetry_space_group_name_H-M 'P 1'
_symmetry_Int_Tables_number 1
_symmetry_space_group_name_Hall 'P 1'
_cell_length_a 5.320
_cell_length_b 5.320
_cell_length_c 7.551
_cell_angle_alpha 110.23
_cell_angle_beta 110.23
_cell_angle_gamma 90.26
loop_
_atom_site_label
_atom_site_type_symbol
_atom_site_fract_x
_atom_site_fract_y
_atom_site_fract_z
Rb1 Rb 0.000 0.000 0.000
Sn1 Sn 0.248 0.748 0.496
Sn2 Sn 0.632 0.632 0.261
Sn3 Sn 0.748 0.248 0.496
Bi1 Bi 0.377 0.377 0.755
```

SG: Cm (8)
DOS(E_F) in states/eV/f.u.: 2.38
Electronic total energy in eV/atom: -3.5103

---

Tl3Hg2O | PBE-GGA | relaxed

```
data_Tl3Hg2O
_symmetry_space_group_name_H-M 'P 1'
_symmetry_Int_Tables_number 1
_symmetry_space_group_name_Hall 'P 1'
_cell_length_a 7.557
_cell_length_b 7.557
_cell_length_c 6.789
_cell_angle_alpha 90.00
_cell_angle_beta 90.00
_cell_angle_gamma 69.59
loop_
_atom_site_label
_atom_site_type_symbol
_atom_site_fract_x
_atom_site_fract_y
_atom_site_fract_z
Tl1 Tl 0.164 0.836 0.750
Tl2 Tl 0.356 0.356 0.000
Tl3 Tl 0.356 0.356 0.500
Tl4 Tl 0.644 0.644 0.000
Tl5 Tl 0.644 0.644 0.500
Tl6 Tl 0.836 0.164 0.250
Hg1 Hg 0.022 0.705 0.250
Hg2 Hg 0.295 0.978 0.250
Hg3 Hg 0.705 0.022 0.750
Hg4 Hg 0.978 0.295 0.750
O1 O 0.443 0.557 0.750
O2 O 0.557 0.443 0.250
```

SG: Cmcm (63)
DOS(E_F) in states/eV/f.u.: 2.91
Electronic total energy in eV/atom: -2.3313